# 1
HoThTi4 | PBE | optimized geometry

The structure in CIF format:
```
data_HoThTi4
_chemical_formula_sum 'Ho4 Th4 Ti16'
_space_group_name_H-M_alt 'F -4 3 m'
_space_group_IT_number 216
_space_group_name_Hall 'F -4 2 3'
_cell_length_a 8.076
_cell_length_b 8.076
_cell_length_c 8.076
_cell_angle_alpha 90.00
_cell_angle_beta 90.00
_cell_angle_gamma 90.00
loop_
_atom_site_label
_atom_site_fract_x
_atom_site_fract_y
_atom_site_fract_z
Ho1 0.000 0.000 0.000
Th1 0.250 0.250 0.750
Ti1 0.124 0.124 0.376
```

# 2
# HoTh2Ti, optimized geometry, DFT PBE
# Excess energy over the best structure of this formula in the dataset: 87 meV/atom
data_HoTh2Ti
_chemical_formula_sum 'Ho3 Th6 Ti3'
_space_group_name_H-M_alt 'R 3 m'
_space_group_IT_number 160
_space_group_name_Hall 'R 3 -2"'
_cell_length_a 3.4568
_cell_length_b 3.4568
_cell_length_c 32.5420
_cell_angle_alpha 90.00
_cell_angle_beta 90.00
_cell_angle_gamma 120.00
loop_
_atom_site_label
_atom_site_fract_x
_atom_site_fract_y
_atom_site_fract_z
Ho1 0.0000 0.0000 0.0000
Th1 0.0000 0.0000 0.5793
Th2 0.0000 0.0000 0.7586
Ti1 0.0000 0.0000 0.1708

# 3
HoThTi2 | PBE | optimized geometry

The structure in CIF format:
```
data_HoThTi2
_chemical_formula_sum 'Ho1 Th1 Ti2'
_space_group_name_H-M_alt 'P 4/m m m'
_space_group_IT_number 123
_space_group_name_Hall '-P 4 2'
_cell_length_a 3.751
_cell_length_b 3.751
_cell_length_c 6.840
_cell_angle_alpha 90.00
_cell_angle_beta 90.00
_cell_angle_gamma 90.00
loop_
_atom_site_label
_atom_site_fract_x
_atom_site_fract_y
_atom_site_fract_z
Ho1 0.000 0.000 0.000
Th1 0.000 0.000 0.500
Ti1 0.500 0.500 0.289
```

# 4
# HoTh2Ti, optimized geometry, DFT PBE
# Excess energy over the best structure of this formula in the dataset: 74 meV/atom
data_HoTh2Ti
_chemical_formula_sum 'Ho1 Th2 Ti1'
_space_group_name_H-M_alt 'P 4/m m m'
_space_group_IT_number 123
_space_group_name_Hall '-P 4 2'
_cell_length_a 4.894
_cell_length_b 4.894
_cell_length_c 4.697
_cell_angle_alpha 90.00
_cell_angle_beta 90.00
_cell_angle_gamma 90.00
loop_
_atom_site_label
_atom_site_fract_x
_atom_site_fract_y
_atom_site_fract_z
Ho1 0.000 0.000 0.000
Th1 0.000 0.500 0.500
Ti1 0.500 0.500 0.000

Which energy relative to the elements belongs to each record? In order, 0.21; 0.22; 0.17; 0.20 eV/atom.
Which spin magnetization belongs to each record? In order, 0.6617; 0.0002; 0.0001; 0.0284 μB/atom.
Which mass density belongs to each record? In order, 7.4; 10.0; 8.5; 10.0 Mg/m³.